The following is a PBE-GGA calculation of a relaxed La2TcBiC crystal, from the Alexandria database.

Computed properties:
**D(E_F)**: 0.927 states/eV per atom
**Calculated formation energy**: -155 kJ/mol of formula units

a = 5.373 Å, b = 5.373 Å, c = 4.114 Å
α = 90.00°, β = 90.00°, γ = 90.00°
Element x y z (fractional)
1 Tc 0.000 0.000 0.500
2 C 0.000 0.000 0.000
3 Bi 0.500 0.500 0.500
4 La 0.000 0.500 0.000
5 La 0.500 0.000 0.000

***

The following is a PBE-GGA calculation of a relaxed La2BiTeC crystal, from the Alexandria database.

Computed properties:
**D(E_F)**: 0.648 states/eV per atom
**Uncorrected formation energy**: 1281 meV/atom

a = 6.170 Å, b = 5.839 Å, c = 6.170 Å
α = 90.00°, β = 90.00°, γ = 90.00°
Element x y z (fractional)
1 C 0.500 0.500 0.500
2 Te 0.000 0.500 0.000
3 Bi 0.000 0.000 0.000
4 La 0.000 0.000 0.500
5 La 0.500 0.000 0.000

***

The following is a PBE-GGA calculation of a relaxed La4TlBiC crystal, from the Alexandria database.

Computed properties:
**D(E_F)**: 0.375 states/eV per atom
**Calculated formation energy**: -324 kJ/mol of formula units

a = 7.212 Å, b = 7.201 Å, c = 9.343 Å
α = 90.00°, β = 112.70°, γ = 90.00°
Element x y z (fractional)
1 La 0.922 0.250 0.844
2 La 0.411 0.750 0.821
3 La 0.078 0.750 0.156
4 La 0.589 0.250 0.179
5 La 0.500 0.500 0.500
6 La 0.000 0.000 0.500
7 La 0.500 0.000 0.500
8 La 0.000 0.500 0.500
9 Tl 0.111 0.250 0.222
10 Tl 0.889 0.750 0.778
11 Bi 0.610 0.750 0.219
12 Bi 0.390 0.250 0.781
13 C 0.270 0.750 0.540
14 C 0.730 0.250 0.460